# ScFe2BiO6 PBE+U relaxed
# Density of states at the Fermi level: 0.0 states/eV per cell
# Space-group type: No. 146
# Final energy: -7.00 eV/atom
data_ScFe2BiO6
_chemical_formula_sum 'Sc1 Fe2 Bi1 O6'
_symmetry_space_group_name_H-M 'P 1'
_symmetry_Int_Tables_number 1
_symmetry_space_group_name_Hall 'P 1'
_cell_length_a 5.6681
_cell_length_b 5.6681
_cell_length_c 5.6681
_cell_angle_alpha 57.39
_cell_angle_beta 57.39
_cell_angle_gamma 57.39
loop_
_atom_site_label
_atom_site_fract_x
_atom_site_fract_y
_atom_site_fract_z
_atom_site_occupancy
Sc1 0.0000 0.0000 0.0000 1
Fe1 0.2912 0.2912 0.2912 1
Fe2 0.7874 0.7874 0.7874 1
Bi1 0.5126 0.5126 0.5126 1
O1 0.0697 0.6822 0.4151 1
O2 0.1348 0.5813 0.9604 1
O3 0.4151 0.0697 0.6822 1
O4 0.5813 0.9604 0.1348 1
O5 0.6822 0.4151 0.0697 1
O6 0.9604 0.1348 0.5813 1